# 1
{"formula": "ZrPbAu2", "functional": "PBE-GGA", "state": "optimized geometry", "volume_a3_per_cell": 84, "crystal_system": "cubic", "lattice": [[0.000, 3.469, 3.469], [3.469, 0.000, 3.469], [3.469, 3.469, 0.000]], "species": ["Zr", "Pb", "Au", "Au"], "frac_coords": [[0.000, 0.000, 0.000], [0.750, 0.750, 0.750], [0.250, 0.250, 0.250], [0.500, 0.500, 0.500]]}

***

# 2
{"formula": "CsTbErTe3", "functional": "PBE-GGA", "state": "optimized geometry", "volume_a3_per_cell": 492, "crystal_system": "orthorhombic", "lattice": [[2.359, -8.762, 0.000], [2.359, 8.762, 0.000], [0.000, 0.000, 11.911]], "species": ["Cs", "Cs", "Tb", "Tb", "Er", "Er", "Te", "Te", "Te", "Te", "Te", "Te"], "frac_coords": [[0.244, 0.756, 0.750], [0.756, 0.244, 0.250], [0.500, 0.500, 0.000], [0.500, 0.500, 0.500], [0.034, 0.966, 0.250], [0.966, 0.034, 0.750], [0.121, 0.879, 0.043], [0.121, 0.879, 0.457], [0.436, 0.564, 0.250], [0.564, 0.436, 0.750], [0.879, 0.121, 0.543], [0.879, 0.121, 0.957]]}

***

# 3
{"formula": "NaThIr", "functional": "PBE-GGA", "state": "optimized geometry", "volume_a3_per_cell": 78, "crystal_system": "cubic", "lattice": [[0.000, 3.398, 3.398], [3.398, 0.000, 3.398], [3.398, 3.398, 0.000]], "species": ["Na", "Th", "Ir"], "frac_coords": [[0.000, 0.000, 0.000], [0.750, 0.750, 0.750], [0.500, 0.500, 0.500]]}

***

In eV/atom, the E_tot values for the records above are, in order, -4.826; -4.485; -5.534.